{
  "formula": "SrLa3CoNiO8",
  "functional": "PBE+U",
  "state": "optimized geometry",
  "total_energy_ev_per_cell": -99.81,
  "spacegroup": "No. 38",
  "crystal_system": "orthorhombic",
  "m_tot_mub_per_cell": 3.9,
  "vol_a3_per_cell": 188.9,
  "lattice": [[2.7055, -6.4259, 0.0000], [2.7055, 6.4259, 0.0000], [0.0000, 0.0000, 5.4337]],
  "species": ["La", "Sr", "Ni", "O", "Co", "O", "O", "O", "La", "La", "O", "O", "O", "O"],
  "frac_coords": [[0.3587, 0.6413, 0.0000], [0.1429, 0.8571, 0.5000], [0.5030, 0.4970, 0.5000], [0.8173, 0.1827, 0.0000], [0.0032, 0.9968, 0.0000], [0.6751, 0.3249, 0.5000], [0.3354, 0.6646, 0.5000], [0.2416, 0.2487, 0.7592], [0.6384, 0.3616, 0.0000], [0.8610, 0.1390, 0.5000], [0.1791, 0.8209, 0.0000], [0.2416, 0.2487, 0.2408], [0.7513, 0.7584, 0.7592], [0.7513, 0.7584, 0.2408]]
}